Compound: BaTl7
Source: Alexandria via LeMat-Bulk
Functional: PBE-GGA
Structure: optimized geometry

Its density of states at the Fermi level is 0.900 states/eV/atom. As for the raw total energy: -2.413 eV per atom. As for the distance to the lowest polymorph of the same formula: 0 meV/atom. The energy relative to the elements is -0.8 eV per formula unit. As for the size of the total moment: 0.00 μB/f.u.

The structure belongs to space group Fm-3m (No. 225); the cell edges are 10.121, 10.121 and 10.121 Å and the angles 90.00°, 90.00° and 90.00°. The distinct sites, in fractional coordinates, are Ba at (0.000, 0.000, 0.000), Tl at (0.000, 0.000, 0.500) and Tl at (0.000, 0.250, 0.250).